Record 1
A plane-wave DFT calculation with PBE-GGA was carried out for a geometry-optimized HgMoAu2 structure.

Calculated values
**SG**: Cm, No. 8
**E_form**: 0.38 eV/atom
**Total magnetization**: 0.00 μB per formula unit

Cell lengths 4.949, 4.949, 5.433 Å; angles 97.43, 97.43, 33.58 degrees
Fractional positions:
Hg 0.000 0.000 0.000
Mo 0.252 0.252 0.732
Au 0.507 0.507 0.518
Au 0.754 0.754 0.253


Record 2
A plane-wave DFT calculation with PBE-GGA was carried out for a geometry-optimized TaReRu3 structure.

Calculated values
**SG**: Pm-3m, No. 221
**Distance to the lowest polymorph of the same formula**: 0.428 eV/atom
**E_form**: 2.07 eV/atom
**Total magnetization**: 0.00 μB per formula unit

Cell lengths 4.592, 4.592, 4.592 Å; angles 90.00, 90.00, 90.00 degrees
Fractional positions:
Ta 0.000 0.000 0.000
Re 0.500 0.500 0.500
Ru 0.000 0.000 0.500
Ru 0.000 0.500 0.000
Ru 0.500 0.000 0.000


Q: Which formula does entry 2 have?
A: TaReRu3